Entry 1:
Below is a geometry-optimized NaPt3 structure, with properties calculated at the PBE level.

CIF file:
```
data_NaPt3
_chemical_formula_sum 'Na2 Pt6'
_cell_length_a 5.6383
_cell_length_b 5.6383
_cell_length_c 4.6497
_cell_angle_alpha 90.00
_cell_angle_beta 90.00
_cell_angle_gamma 120.00
_symmetry_space_group_name_H-M 'P 63/m m c'
_symmetry_Int_Tables_number 194
_symmetry_space_group_name_Hall '-P 6c 2c'
loop_
_atom_site_label
_atom_site_type_symbol
_atom_site_fract_x
_atom_site_fract_y
_atom_site_fract_z
Na1 Na 0.3333 0.6667 0.2500
Pt1 Pt 0.1642 0.3285 0.7500
```

Results
Calculated formation energy ... -0.0020 eV per atom
E ... -38.9 eV per cell

---

Entry 2:
Below is a geometry-optimized CaIn2Pt structure, with properties calculated at the PBE level.

CIF file:
```
data_CaIn2Pt
_chemical_formula_sum 'Ca1 In2 Pt1'
_cell_length_a 4.358
_cell_length_b 3.763
_cell_length_c 6.498
_cell_angle_alpha 90.00
_cell_angle_beta 109.40
_cell_angle_gamma 90.00
_symmetry_space_group_name_H-M 'P 1 m 1'
_symmetry_Int_Tables_number 6
loop_
_symmetry_equiv_pos_as_xyz
'x,y,z'
'x,-y,z'
loop_
_atom_site_label
_atom_site_type_symbol
_atom_site_fract_x
_atom_site_fract_y
_atom_site_fract_z
Ca1 Ca 0.000 0.000 0.000
In1 In 0.329 0.500 0.656
In2 In 0.719 0.000 0.436
Pt1 Pt 0.552 0.500 0.104
```

Results
Calculated formation energy ... -0.5091 eV per atom
E ... -15.6 eV per cell

---

Entry 3:
Below is a geometry-optimized Cs2Rb2ReO6 structure, with properties calculated at the PBE level.

CIF file:
```
data_Cs2Rb2ReO6
_chemical_formula_sum 'Cs4 Rb4 Re2 O12'
_cell_length_a 6.945
_cell_length_b 11.286
_cell_length_c 6.915
_cell_angle_alpha 90.00
_cell_angle_beta 108.04
_cell_angle_gamma 90.00
_symmetry_space_group_name_H-M 'C 1 2/m 1'
_symmetry_Int_Tables_number 12
loop_
_symmetry_equiv_pos_as_xyz
'x,y,z'
'-x,-y,-z'
'-x,y,-z'
'x,-y,z'
'x+1/2,y+1/2,z'
'-x+1/2,-y+1/2,-z'
'-x+1/2,y+1/2,-z'
'x+1/2,-y+1/2,z'
loop_
_atom_site_label
_atom_site_type_symbol
_atom_site_fract_x
_atom_site_fract_y
_atom_site_fract_z
Cs1 Cs 0.000 0.171 0.000
Rb1 Rb 0.000 0.345 0.500
Re1 Re 0.000 0.000 0.500
O1 O 0.166 0.000 0.325
O2 O 0.167 0.120 0.664
```

Results
E ... -124.7 eV per cell
E_form (uncorrected) ... -1503 meV per atom

---

Entry 4:
Below is a geometry-optimized Nb2TcRu structure, with properties calculated at the PBE level.

CIF file:
```
data_Nb2TcRu
_chemical_formula_sum 'Nb8 Tc4 Ru4'
_cell_length_a 7.132
_cell_length_b 7.132
_cell_length_c 5.441
_cell_angle_alpha 90.00
_cell_angle_beta 90.00
_cell_angle_gamma 90.00
_symmetry_space_group_name_H-M 'I -4 2 d'
_symmetry_Int_Tables_number 122
_symmetry_space_group_name_Hall 'I -4 2bw'
loop_
_atom_site_label
_atom_site_type_symbol
_atom_site_fract_x
_atom_site_fract_y
_atom_site_fract_z
Nb1 Nb 0.247 0.750 0.125
Tc1 Tc 0.000 0.000 0.500
Ru1 Ru 0.000 0.000 0.000
```

Results
Calculated formation energy ... 0.4447 eV per atom
E ... -152.0 eV per cell

---

Entry 5:
Below is a geometry-optimized CoSnN2 structure, with properties calculated at the PBE level.

CIF file:
```
data_CoSnN2
_chemical_formula_sum 'Co3 Sn3 N6'
_cell_length_a 3.0000
_cell_length_b 3.0000
_cell_length_c 18.4268
_cell_angle_alpha 90.00
_cell_angle_beta 90.00
_cell_angle_gamma 120.00
_symmetry_space_group_name_H-M 'R -3 m'
_symmetry_Int_Tables_number 166
_symmetry_space_group_name_Hall '-R 3 2"'
loop_
_atom_site_label
_atom_site_type_symbol
_atom_site_fract_x
_atom_site_fract_y
_atom_site_fract_z
Co1 Co 0.0000 0.0000 0.0000
Sn1 Sn 0.0000 0.0000 0.5000
N1 N 0.0000 0.0000 0.3831
```

Results
E ... -76.5 eV per cell
E_form (uncorrected) ... 562 meV per atom

---

Entry 6:
Below is a geometry-optimized KSrFeCl5 structure, with properties calculated at the PBE level.

CIF file:
```
data_KSrFeCl5
_chemical_formula_sum 'K4 Sr4 Fe4 Cl20'
_cell_length_a 9.171
_cell_length_b 12.232
_cell_length_c 10.198
_cell_angle_alpha 90.00
_cell_angle_beta 112.77
_cell_angle_gamma 90.00
_symmetry_space_group_name_H-M 'C 1 2/c 1'
_symmetry_Int_Tables_number 15
loop_
_symmetry_equiv_pos_as_xyz
'x,y,z'
'-x,-y,-z'
'-x,y,-z+1/2'
'x,-y,z+1/2'
'x+1/2,y+1/2,z'
'-x+1/2,-y+1/2,-z'
'-x+1/2,y+1/2,-z+1/2'
'x+1/2,-y+1/2,z+1/2'
loop_
_atom_site_label
_atom_site_type_symbol
_atom_site_fract_x
_atom_site_fract_y
_atom_site_fract_z
K1 K 0.000 0.151 0.250
Sr1 Sr 0.000 0.500 0.000
Fe1 Fe 0.000 0.181 0.750
Cl1 Cl 0.000 0.401 0.250
Cl2 Cl 0.125 0.290 0.640
Cl3 Cl 0.166 0.066 0.924
```

Results
E ... -135.4 eV per cell
E_form (uncorrected) ... -1672 meV per atom

---

Entry 7:
Below is a geometry-optimized Pm2YCu3 structure, with properties calculated at the PBE level.

CIF file:
```
data_Pm2YCu3
_chemical_formula_sum 'Pm2 Y1 Cu3'
_cell_length_a 3.527
_cell_length_b 3.527
_cell_length_c 10.669
_cell_angle_alpha 90.00
_cell_angle_beta 90.00
_cell_angle_gamma 90.00
_symmetry_space_group_name_H-M 'P 4/m m m'
_symmetry_Int_Tables_number 123
_symmetry_space_group_name_Hall '-P 4 2'
loop_
_atom_site_label
_atom_site_type_symbol
_atom_site_fract_x
_atom_site_fract_y
_atom_site_fract_z
Pm1 Pm 0.000 0.000 0.169
Y1 Y 0.000 0.000 0.500
Cu1 Cu 0.500 0.500 0.000
Cu2 Cu 0.500 0.500 0.342
```

Results
Calculated formation energy ... -0.1926 eV per atom
E ... -29.4 eV per cell
E above lowest polymorph ... 0.0 kJ/mol of atoms

---

Entry 8:
Below is a geometry-optimized SmHoZnRh structure, with properties calculated at the PBE level.

CIF file:
```
data_SmHoZnRh
_chemical_formula_sum 'Sm2 Ho2 Zn2 Rh2'
_cell_length_a 4.395
_cell_length_b 3.894
_cell_length_c 10.673
_cell_angle_alpha 90.00
_cell_angle_beta 90.00
_cell_angle_gamma 90.00
_symmetry_space_group_name_H-M 'A m m 2'
_symmetry_Int_Tables_number 38
loop_
_symmetry_equiv_pos_as_xyz
'x,y,z'
'-x,-y,z'
'-x,y,z'
'x,-y,z'
'x,y+1/2,z+1/2'
'-x,-y+1/2,z+1/2'
'-x,y+1/2,z+1/2'
'x,-y+1/2,z+1/2'
loop_
_atom_site_label
_atom_site_type_symbol
_atom_site_fract_x
_atom_site_fract_y
_atom_site_fract_z
Sm1 Sm 0.000 0.000 0.000
Ho1 Ho 0.500 0.000 0.720
Zn1 Zn 0.500 0.000 0.429
Rh1 Rh 0.000 0.000 0.281
```

Results
Calculated formation energy ... -0.5781 eV per atom
E ... -40.5 eV per cell
E above lowest polymorph ... 0.0 kJ/mol of atoms

---

Entry 9:
Below is a geometry-optimized Sm5ThMg4 structure, with properties calculated at the PBE level.

CIF file:
```
data_Sm5ThMg4
_chemical_formula_sum 'Sm5 Th1 Mg4'
_cell_length_a 3.755
_cell_length_b 3.755
_cell_length_c 20.893
_cell_angle_alpha 90.00
_cell_angle_beta 90.00
_cell_angle_gamma 90.00
_symmetry_space_group_name_H-M 'P 4/m m m'
_symmetry_Int_Tables_number 123
_symmetry_space_group_name_Hall '-P 4 2'
loop_
_atom_site_label
_atom_site_type_symbol
_atom_site_fract_x
_atom_site_fract_y
_atom_site_fract_z
Sm1 Sm 0.000 0.000 0.000
Sm2 Sm 0.000 0.000 0.188
Sm3 Sm 0.000 0.000 0.389
Th1 Th 0.500 0.500 0.500
Mg1 Mg 0.500 0.500 0.094
Mg2 Mg 0.500 0.500 0.286
```

Results
Calculated formation energy ... -0.0612 eV per atom
E ... -38.0 eV per cell

---

Entry 10:
Below is a geometry-optimized AlSbSCl2 structure, with properties calculated at the PBE level.

CIF file:
```
data_AlSbSCl2
_chemical_formula_sum 'Al1 Sb1 S1 Cl2'
_cell_length_a 4.685
_cell_length_b 4.685
_cell_length_c 4.878
_cell_angle_alpha 90.00
_cell_angle_beta 90.00
_cell_angle_gamma 90.00
_symmetry_space_group_name_H-M 'P 4/m m m'
_symmetry_Int_Tables_number 123
_symmetry_space_group_name_Hall '-P 4 2'
loop_
_atom_site_label
_atom_site_type_symbol
_atom_site_fract_x
_atom_site_fract_y
_atom_site_fract_z
Al1 Al 0.000 0.000 0.000
Sb1 Sb 0.500 0.500 0.500
S1 S 0.000 0.000 0.500
Cl1 Cl 0.000 0.500 0.000
```

Results
E ... -17.4 eV per cell
E above lowest polymorph ... 0.0 kJ/mol of atoms
E_form (uncorrected) ... -349 meV per atom

---

Entry 11:
Below is a geometry-optimized YSb2Ir structure, with properties calculated at the PBE level.

CIF file:
```
data_YSb2Ir
_chemical_formula_sum 'Y1 Sb2 Ir1'
_cell_length_a 3.257
_cell_length_b 3.257
_cell_length_c 9.190
_cell_angle_alpha 90.00
_cell_angle_beta 90.00
_cell_angle_gamma 90.00
_symmetry_space_group_name_H-M 'P 4 m m'
_symmetry_Int_Tables_number 99
loop_
_symmetry_equiv_pos_as_xyz
'x,y,z'
'-y,x,z'
'-x,-y,z'
'y,-x,z'
'-x,y,z'
'y,x,z'
'x,-y,z'
'-y,-x,z'
loop_
_atom_site_label
_atom_site_type_symbol
_atom_site_fract_x
_atom_site_fract_y
_atom_site_fract_z
Y1 Y 0.000 0.000 0.000
Sb1 Sb 0.000 0.000 0.386
Sb2 Sb 0.500 0.500 0.735
Ir1 Ir 0.500 0.500 0.209
```

Results
E ... -25.1 eV per cell
E_form (uncorrected) ... -386 meV per atom

---

Entry 12:
Below is a geometry-optimized Ho3ZnPt12 structure, with properties calculated at the PBE level.

CIF file:
```
data_Ho3ZnPt12
_chemical_formula_sum 'Ho3 Zn1 Pt12'
_cell_length_a 4.084
_cell_length_b 4.084
_cell_length_c 16.142
_cell_angle_alpha 90.00
_cell_angle_beta 90.00
_cell_angle_gamma 90.00
_symmetry_space_group_name_H-M 'P 4/m m m'
_symmetry_Int_Tables_number 123
_symmetry_space_group_name_Hall '-P 4 2'
loop_
_atom_site_label
_atom_site_type_symbol
_atom_site_fract_x
_atom_site_fract_y
_atom_site_fract_z
Ho1 Ho 0.000 0.000 0.000
Ho2 Ho 0.000 0.000 0.256
Zn1 Zn 0.000 0.000 0.500
Pt1 Pt 0.000 0.500 0.128
Pt2 Pt 0.000 0.500 0.385
Pt3 Pt 0.500 0.500 0.000
Pt4 Pt 0.500 0.500 0.257
Pt5 Pt 0.500 0.500 0.500
```

Results
Calculated formation energy ... -0.8666 eV per atom
E ... -101.4 eV per cell

---

Entry 13:
Below is a geometry-optimized BeF structure, with properties calculated at the PBE level.

CIF file:
```
data_BeF
_chemical_formula_sum 'Be6 F6'
_cell_length_a 2.981
_cell_length_b 7.345
_cell_length_c 6.574
_cell_angle_alpha 90.00
_cell_angle_beta 90.00
_cell_angle_gamma 90.00
_symmetry_space_group_name_H-M 'P m m n'
_symmetry_Int_Tables_number 59
loop_
_symmetry_equiv_pos_as_xyz
'x,y,z'
'-x,-y,-z'
'-x+1/2,-y+1/2,z'
'x+1/2,y+1/2,-z'
'x+1/2,-y,-z'
'-x+1/2,y,z'
'-x,y+1/2,-z'
'x,-y+1/2,z'
loop_
_atom_site_label
_atom_site_type_symbol
_atom_site_fract_x
_atom_site_fract_y
_atom_site_fract_z
Be1 Be 0.250 0.117 0.178
Be2 Be 0.250 0.750 0.068
F1 F 0.250 0.250 0.365
F2 F 0.250 0.584 0.228
```

Results
E ... -56.4 eV per cell
E above lowest polymorph ... 9.9 kJ/mol of atoms
E_form (uncorrected) ... -1905 meV per atom

---

Entry 14:
Below is a geometry-optimized LiLuPuIn structure, with properties calculated at the PBE level.

CIF file:
```
data_LiLuPuIn
_chemical_formula_sum 'Li4 Lu4 Pu4 In4'
_cell_length_a 7.409
_cell_length_b 7.409
_cell_length_c 7.409
_cell_angle_alpha 90.00
_cell_angle_beta 90.00
_cell_angle_gamma 90.00
_symmetry_space_group_name_H-M 'F -4 3 m'
_symmetry_Int_Tables_number 216
_symmetry_space_group_name_Hall 'F -4 2 3'
loop_
_atom_site_label
_atom_site_type_symbol
_atom_site_fract_x
_atom_site_fract_y
_atom_site_fract_z
Li1 Li 0.000 0.000 0.000
Lu1 Lu 0.250 0.250 0.250
Pu1 Pu 0.250 0.250 0.750
In1 In 0.000 0.000 0.500
```

Results
Calculated formation energy ... -0.0238 eV per atom
E ... -94.4 eV per cell

---

Entry 15:
Below is a geometry-optimized NaCuI2 structure, with properties calculated at the PBE level.

CIF file:
```
data_NaCuI2
_chemical_formula_sum 'Na3 Cu3 I6'
_cell_length_a 4.2445
_cell_length_b 4.2445
_cell_length_c 22.2222
_cell_angle_alpha 90.00
_cell_angle_beta 90.00
_cell_angle_gamma 120.00
_symmetry_space_group_name_H-M 'R 3 m'
_symmetry_Int_Tables_number 160
_symmetry_space_group_name_Hall 'R 3 -2"'
loop_
_atom_site_label
_atom_site_type_symbol
_atom_site_fract_x
_atom_site_fract_y
_atom_site_fract_z
Na1 Na 0.0000 0.0000 0.0000
Cu1 Cu 0.0000 0.0000 0.8352
I1 I 0.0000 0.0000 0.2357
I2 I 0.0000 0.0000 0.4284
```

Results
E ... -31.8 eV per cell
E above lowest polymorph ... 13.3 kJ/mol of atoms
E_form (uncorrected) ... -520 meV per atom

---

Entry 16:
Below is a geometry-optimized CsTh2Te4 structure, with properties calculated at the PBE level.

CIF file:
```
data_CsTh2Te4
_chemical_formula_sum 'Cs4 Th8 Te16'
_cell_length_a 4.638
_cell_length_b 15.190
_cell_length_c 15.965
_cell_angle_alpha 90.00
_cell_angle_beta 90.00
_cell_angle_gamma 90.00
_symmetry_space_group_name_H-M 'C m c m'
_symmetry_Int_Tables_number 63
_symmetry_space_group_name_Hall '-C 2c 2'
loop_
_atom_site_label
_atom_site_type_symbol
_atom_site_fract_x
_atom_site_fract_y
_atom_site_fract_z
Cs1 Cs 0.000 0.108 0.250
Th1 Th 0.000 0.371 0.062
Te1 Te 0.000 0.000 0.000
Te2 Te 0.000 0.264 0.607
Te3 Te 0.000 0.413 0.250
```

Results
E ... -146.2 eV per cell
E above lowest polymorph ... 0.0 kJ/mol of atoms
E_form (uncorrected) ... -1185 meV per atom

---

Entry 17:
Below is a geometry-optimized InB4O2 structure, with properties calculated at the PBE level.

CIF file:
```
data_InB4O2
_chemical_formula_sum 'In2 B8 O4'
_cell_length_a 4.711
_cell_length_b 4.711
_cell_length_c 10.316
_cell_angle_alpha 90.00
_cell_angle_beta 90.00
_cell_angle_gamma 90.00
_symmetry_space_group_name_H-M 'I 4/m m m'
_symmetry_Int_Tables_number 139
_symmetry_space_group_name_Hall '-I 4 2'
loop_
_atom_site_label
_atom_site_type_symbol
_atom_site_fract_x
_atom_site_fract_y
_atom_site_fract_z
In1 In 0.000 0.000 0.000
B1 B 0.000 0.000 0.244
B2 B 0.000 0.500 0.000
O1 O 0.000 0.000 0.364
```

Results
E ... -68.7 eV per cell
E_form (uncorrected) ... 714 meV per atom

---

Entry 18:
Below is a geometry-optimized LiThSi2 structure, with properties calculated at the PBE level.

CIF file:
```
data_LiThSi2
_chemical_formula_sum 'Li4 Th4 Si8'
_cell_length_a 7.792
_cell_length_b 3.871
_cell_length_c 10.452
_cell_angle_alpha 90.00
_cell_angle_beta 90.00
_cell_angle_gamma 90.00
_symmetry_space_group_name_H-M 'P n m a'
_symmetry_Int_Tables_number 62
loop_
_symmetry_equiv_pos_as_xyz
'x,y,z'
'-x,-y,-z'
'-x+1/2,-y,z+1/2'
'x+1/2,y,-z+1/2'
'x+1/2,-y+1/2,-z+1/2'
'-x+1/2,y+1/2,z+1/2'
'-x,y+1/2,-z'
'x,-y+1/2,z'
loop_
_atom_site_label
_atom_site_type_symbol
_atom_site_fract_x
_atom_site_fract_y
_atom_site_fract_z
Li1 Li 0.010 0.250 0.103
Th1 Th 0.135 0.750 0.362
Si1 Si 0.163 0.750 0.684
Si2 Si 0.236 0.750 0.068
```

Results
E ... -89.5 eV per cell
E above lowest polymorph ... 0.0 kJ/mol of atoms
E_form (uncorrected) ... -550 meV per atom

---

Entry 19:
Below is a geometry-optimized Mg6Cd5Hg structure, with properties calculated at the PBE level.

CIF file:
```
data_Mg6Cd5Hg
_chemical_formula_sum 'Mg12 Cd10 Hg2'
_cell_length_a 4.804
_cell_length_b 14.302
_cell_length_c 7.515
_cell_angle_alpha 90.00
_cell_angle_beta 90.00
_cell_angle_gamma 90.00
_symmetry_space_group_name_H-M 'C m m m'
_symmetry_Int_Tables_number 65
_symmetry_space_group_name_Hall '-C 2 2'
loop_
_atom_site_label
_atom_site_type_symbol
_atom_site_fract_x
_atom_site_fract_y
_atom_site_fract_z
Mg1 Mg 0.000 0.000 0.240
Mg2 Mg 0.000 0.335 0.251
Cd1 Cd 0.000 0.165 0.500
Cd2 Cd 0.000 0.172 0.000
Cd3 Cd 0.000 0.500 0.500
Hg1 Hg 0.000 0.500 0.000
```

Results
Calculated formation energy ... -0.1213 eV per atom
E ... -31.8 eV per cell

---

Entry 20:
Below is a geometry-optimized BiTe3Pb2 structure, with properties calculated at the PBE level.

CIF file:
```
data_BiTe3Pb2
_chemical_formula_sum 'Bi2 Te6 Pb4'
_cell_length_a 6.580
_cell_length_b 15.640
_cell_length_c 4.454
_cell_angle_alpha 90.00
_cell_angle_beta 90.00
_cell_angle_gamma 90.00
_symmetry_space_group_name_H-M 'C m m m'
_symmetry_Int_Tables_number 65
_symmetry_space_group_name_Hall '-C 2 2'
loop_
_atom_site_label
_atom_site_type_symbol
_atom_site_fract_x
_atom_site_fract_y
_atom_site_fract_z
Bi1 Bi 0.000 0.000 0.000
Te1 Te 0.000 0.142 0.500
Te2 Te 0.000 0.500 0.000
Pb1 Pb 0.000 0.351 0.500
```

Results
E ... -43.8 eV per cell
E above lowest polymorph ... 6.6 kJ/mol of atoms
E_form (uncorrected) ... -200 meV per atom